# 1
DFT (PBE) results for crystalline Sr6CaAu4 at its relaxed geometry.

total magnetic moment = 0.00 μB/cell
VASP energy = -31.052 eV per cell

```
Sr6CaAu4
1.0
6.268 0.001 -2.323
-0.865 6.208 -2.323
0.113 0.130 9.886
Sr Ca Au
6 1 4
direct
0.091 0.549 0.639
0.549 0.091 0.639
0.910 0.910 0.361
0.999 0.500 0.000
0.452 0.452 0.361
0.500 0.999 0.000
0.000 0.000 0.000
0.905 0.354 0.260
0.645 0.645 0.740
0.354 0.905 0.260
0.095 0.095 0.740
```


# 2
DFT (PBE) results for crystalline SrCa4Au at its relaxed geometry.

total magnetic moment = 0.00 μB/cell
E above lowest polymorph = 2.40 eV/f.u.

```
SrCa4Au
1.0
-6.821 -0.874 1.361
-4.313 -2.284 -5.032
-2.701 -6.458 0.364
Sr Ca Au
1 4 1
direct
0.750 0.750 0.750
0.875 0.375 0.375
0.375 0.375 0.875
0.375 0.875 0.375
0.375 0.375 0.375
0.000 0.000 0.000
```


# 3
DFT (PBE) results for crystalline Sr2Ca4Au at its relaxed geometry.

total magnetic moment = 0.00 μB/cell
VASP energy = -15.455 eV per cell

```
Sr2Ca4Au
1.0
5.709 0.000 0.000
0.000 5.709 0.000
2.854 2.854 9.981
Sr Ca Au
2 4 1
direct
0.660 0.660 0.680
0.340 0.340 0.320
0.855 0.855 0.291
0.145 0.145 0.709
0.000 0.500 0.000
0.500 0.000 0.000
0.000 0.000 0.000
```


# 4
DFT (PBE) results for crystalline SrCaAu6 at its relaxed geometry.

total magnetic moment = 0.00 μB/cell
VASP energy = -27.280 eV per cell

```
SrCaAu6
1.0
-2.274 -4.884 -1.498
3.823 -0.539 -4.045
3.389 -2.669 3.558
Sr Ca Au
1 1 6
direct
0.500 0.500 0.500
0.000 0.000 0.000
0.500 0.752 0.000
0.752 0.000 0.500
0.000 0.500 0.248
0.248 0.000 0.500
0.500 0.248 0.000
0.000 0.500 0.752
```


# 5
DFT (PBE) results for crystalline Sr3Ca3Au4 at its relaxed geometry.

total magnetic moment = 0.00 μB/cell
VASP energy = -31.019 eV per cell

```
Sr3Ca3Au4
1.0
-0.323 -4.462 -0.247
5.876 -0.740 5.698
-5.727 0.088 5.894
Sr Ca Au
3 3 4
direct
0.500 0.839 0.161
0.500 0.335 0.337
0.500 0.663 0.665
0.000 0.496 0.999
0.000 0.001 0.504
0.500 0.164 0.836
0.000 0.635 0.365
0.000 0.356 0.644
0.000 0.874 0.864
0.000 0.136 0.126
```


# 6
DFT (PBE) results for crystalline Sr2Ca2Au at its relaxed geometry.

total magnetic moment = 0.00 μB/cell
E above lowest polymorph = 0.00 eV/f.u.

```
Sr2Ca2Au
1.0
-3.006 -0.031 -7.412
0.686 -7.062 3.693
-5.405 4.546 4.675
Sr Ca Au
4 4 2
direct
0.989 0.553 0.241
0.011 0.447 0.759
0.553 0.989 0.241
0.447 0.011 0.759
0.865 0.865 0.629
0.630 0.630 0.876
0.370 0.370 0.124
0.135 0.135 0.371
0.887 0.113 0.000
0.113 0.887 0.000
```


# 7
DFT (PBE) results for crystalline SrCa2Au at its relaxed geometry.

total magnetic moment = 0.00 μB/cell
E above lowest polymorph = 0.00 eV/f.u.

```
SrCa2Au
1.0
4.455 0.007 0.000
-2.217 6.550 0.000
0.000 0.000 9.664
Sr Ca Au
2 4 2
direct
0.934 0.867 0.250
0.066 0.133 0.750
0.348 0.697 0.562
0.652 0.303 0.438
0.348 0.697 0.938
0.652 0.303 0.062
0.754 0.507 0.750
0.246 0.493 0.250
```


# 8
DFT (PBE) results for crystalline SrCa4Au at its relaxed geometry.

total magnetic moment = 0.00 μB/cell
E above lowest polymorph = 0.00 eV/f.u.

```
SrCa4Au
1.0
6.692 0.000 0.492
0.000 7.219 0.000
0.984 0.000 10.504
Sr Ca Au
2 8 2
direct
0.000 0.000 0.000
0.500 0.500 0.000
0.930 0.602 0.242
0.570 0.102 0.758
0.396 0.368 0.383
0.104 0.868 0.617
0.070 0.398 0.758
0.430 0.898 0.242
0.604 0.632 0.617
0.896 0.132 0.383
0.500 0.000 0.500
0.000 0.500 0.500
```


# 9
DFT (PBE) results for crystalline SrCa2Au at its relaxed geometry.

total magnetic moment = 0.00 μB/cell
E above lowest polymorph = 0.51 eV/f.u.

```
SrCa2Au
1.0
-4.738 5.017 -2.928
-5.899 3.084 3.447
7.365 -1.360 -0.313
Sr Ca Au
1 2 1
direct
0.434 0.434 0.000
0.074 0.074 0.000
0.747 0.247 0.500
0.245 0.745 0.500
```


# 10
DFT (PBE) results for crystalline SrCa3Au2 at its relaxed geometry.

total magnetic moment = 0.00 μB/cell
VASP energy = -35.160 eV per cell

```
SrCa3Au2
1.0
-3.062 3.061 -1.007
-4.584 -8.229 -1.264
-0.027 3.146 9.642
Sr Ca Au
2 6 4
direct
0.117 0.235 0.140
0.883 0.765 0.860
0.681 0.362 0.895
0.037 0.074 0.686
0.339 0.678 0.501
0.661 0.322 0.499
0.963 0.926 0.314
0.319 0.638 0.105
0.512 0.024 0.862
0.488 0.976 0.138
0.228 0.457 0.741
0.772 0.543 0.259
```


# 11
DFT (PBE) results for crystalline SrCa2Au at its relaxed geometry.

total magnetic moment = 0.00 μB/cell
E above lowest polymorph = 0.40 eV/f.u.

```
SrCa2Au
1.0
-2.297 -2.462 2.558
-2.969 -2.861 -5.421
2.350 -5.529 -3.211
Sr Ca Au
1 2 1
direct
0.500 0.250 0.250
0.000 0.917 0.918
0.000 0.583 0.582
0.500 0.750 0.750
```


# 12
DFT (PBE) results for crystalline SrCa2Au at its relaxed geometry.

total magnetic moment = 0.00 μB/cell
E above lowest polymorph = 0.00 eV/f.u.

```
SrCa2Au
1.0
-3.300 -5.943 0.884
5.772 -3.834 -4.230
5.213 -1.618 8.579
Sr Ca Au
4 8 4
direct
0.638 0.535 0.250
0.862 0.035 0.250
0.362 0.465 0.750
0.138 0.965 0.750
0.157 0.673 0.065
0.343 0.173 0.435
0.843 0.327 0.565
0.657 0.827 0.935
0.843 0.327 0.935
0.657 0.827 0.565
0.157 0.673 0.435
0.343 0.173 0.065
0.074 0.382 0.250
0.426 0.882 0.250
0.926 0.618 0.750
0.574 0.118 0.750
```